Record 1
# KLiCu2Bi PBE relaxed
# uncorrected energy: -1.80 eV per atom
# DFT formation energy: 1.214 eV per atom
# DOS(E_F): 1.00 states/eV/atom
data_KLiCu2Bi
_cell_length_a 5.325
_cell_length_b 5.325
_cell_length_c 6.223
_cell_angle_alpha 90.00
_cell_angle_beta 90.00
_cell_angle_gamma 90.00
_symmetry_space_group_name_H-M 'P 4/m m m'
_symmetry_Int_Tables_number 123
_symmetry_space_group_name_Hall '-P 4 2'
loop_
_atom_site_label
_atom_site_fract_x
_atom_site_fract_y
_atom_site_fract_z
K1 0.000 0.000 0.000
Li1 0.500 0.500 0.500
Cu1 0.000 0.500 0.000
Bi1 0.000 0.000 0.500

---

Record 2
# KCuBiO4 PBE relaxed
# uncorrected energy: -4.90 eV per atom
# formation energy without anion corrections: -0.771 eV per atom
# DOS(E_F): 0.36 states/eV/atom
data_KCuBiO4
_cell_length_a 6.928
_cell_length_b 10.637
_cell_length_c 6.838
_cell_angle_alpha 90.00
_cell_angle_beta 90.00
_cell_angle_gamma 90.00
_symmetry_space_group_name_H-M 'C m c m'
_symmetry_Int_Tables_number 63
_symmetry_space_group_name_Hall '-C 2c 2'
loop_
_atom_site_label
_atom_site_fract_x
_atom_site_fract_y
_atom_site_fract_z
K1 0.000 0.000 0.000
Cu1 0.000 0.371 0.250
Bi1 0.000 0.346 0.750
O1 0.000 0.261 0.031
O2 0.193 0.499 0.750

---

Record 3
# K4CuBi3O8 PBE relaxed
# uncorrected energy: -4.88 eV per atom
# formation energy without anion corrections: -1.147 eV per atom
# DOS(E_F): 0.47 states/eV/atom
data_K4CuBi3O8
_cell_length_a 12.611
_cell_length_b 6.924
_cell_length_c 7.320
_cell_angle_alpha 90.00
_cell_angle_beta 121.28
_cell_angle_gamma 90.00
_symmetry_space_group_name_H-M 'C 1 2/m 1'
_symmetry_Int_Tables_number 12
_symmetry_space_group_name_Hall '-C 2y'
loop_
_atom_site_label
_atom_site_fract_x
_atom_site_fract_y
_atom_site_fract_z
K1 0.000 0.000 0.000
K2 0.000 0.500 0.000
K3 0.250 0.250 0.000
Cu1 0.000 0.000 0.500
Bi1 0.000 0.500 0.500
Bi2 0.250 0.250 0.500
O1 0.028 0.215 0.336
O2 0.231 0.500 0.273
O3 0.231 0.500 0.707

---

Record 4
# KCuBi2S4 PBE relaxed
# uncorrected energy: -4.23 eV per atom
# formation energy without anion corrections: -0.547 eV per atom
data_KCuBi2S4
_cell_length_a 4.040
_cell_length_b 13.912
_cell_length_c 14.431
_cell_angle_alpha 90.00
_cell_angle_beta 90.00
_cell_angle_gamma 90.00
_symmetry_space_group_name_H-M 'C m c 21'
_symmetry_Int_Tables_number 36
_symmetry_space_group_name_Hall 'C 2c -2'
loop_
_atom_site_label
_atom_site_fract_x
_atom_site_fract_y
_atom_site_fract_z
K1 0.000 0.111 0.000
Cu1 0.000 0.148 0.471
Bi1 0.000 0.351 0.791
Bi2 0.000 0.380 0.174
S1 0.000 0.016 0.220
S2 0.000 0.254 0.627
S3 0.000 0.268 0.355
S4 0.000 0.428 0.992

---

Record 5
# KCuBiS2 PBE relaxed
# uncorrected energy: -3.94 eV per atom
# formation energy without anion corrections: -0.473 eV per atom
# DOS(E_F): 0.29 states/eV/atom
data_KCuBiS2
_cell_length_a 7.406
_cell_length_b 4.405
_cell_length_c 8.505
_cell_angle_alpha 90.00
_cell_angle_beta 99.86
_cell_angle_gamma 90.00
_symmetry_space_group_name_H-M 'P 1 2/c 1'
_symmetry_Int_Tables_number 13
_symmetry_space_group_name_Hall '-P 2yc'
loop_
_atom_site_label
_atom_site_fract_x
_atom_site_fract_y
_atom_site_fract_z
K1 0.000 0.184 0.250
Cu1 0.500 0.000 0.000
Bi1 0.500 0.470 0.750
S1 0.262 0.307 0.969

---

Record 6
# K2Cu2BiS4 PBE relaxed
# uncorrected energy: -4.05 eV per atom
# formation energy without anion corrections: -0.629 eV per atom
# DOS(E_F): 0.76 states/eV/atom
data_K2Cu2BiS4
_cell_length_a 14.917
_cell_length_b 3.935
_cell_length_c 7.665
_cell_angle_alpha 90.00
_cell_angle_beta 110.86
_cell_angle_gamma 90.00
_symmetry_space_group_name_H-M 'C 1 2/m 1'
_symmetry_Int_Tables_number 12
_symmetry_space_group_name_Hall '-C 2y'
loop_
_atom_site_label
_atom_site_fract_x
_atom_site_fract_y
_atom_site_fract_z
K1 0.131 0.000 0.050
Cu1 0.188 0.500 0.490
Bi1 0.000 0.000 0.500
S1 0.028 0.500 0.263
S2 0.205 0.000 0.673

---

Record 7
# K2CuBiSb PBE relaxed
# uncorrected energy: -2.80 eV per atom
# formation energy without anion corrections: 0.061 eV per atom
# DOS(E_F): 0.72 states/eV/atom
data_K2CuBiSb
_cell_length_a 6.072
_cell_length_b 6.072
_cell_length_c 4.798
_cell_angle_alpha 90.00
_cell_angle_beta 90.00
_cell_angle_gamma 90.00
_symmetry_space_group_name_H-M 'P 4/m m m'
_symmetry_Int_Tables_number 123
_symmetry_space_group_name_Hall '-P 4 2'
loop_
_atom_site_label
_atom_site_fract_x
_atom_site_fract_y
_atom_site_fract_z
K1 0.000 0.500 0.000
Cu1 0.000 0.000 0.000
Bi1 0.500 0.500 0.500
Sb1 0.000 0.000 0.500

---

Record 8
# KCuBiSe2 PBE relaxed
# uncorrected energy: -3.67 eV per atom
# formation energy without anion corrections: -0.458 eV per atom
# DOS(E_F): 0.33 states/eV/atom
data_KCuBiSe2
_cell_length_a 7.727
_cell_length_b 4.242
_cell_length_c 8.965
_cell_angle_alpha 90.00
_cell_angle_beta 96.88
_cell_angle_gamma 90.00
_symmetry_space_group_name_H-M 'P 1 2/c 1'
_symmetry_Int_Tables_number 13
_symmetry_space_group_name_Hall '-P 2yc'
loop_
_atom_site_label
_atom_site_fract_x
_atom_site_fract_y
_atom_site_fract_z
K1 0.000 0.139 0.250
Cu1 0.500 0.000 0.000
Bi1 0.500 0.485 0.750
Se1 0.258 0.344 0.977

---

Record 9
# KCuBiSe3 PBE relaxed
# uncorrected energy: -3.79 eV per atom
# formation energy without anion corrections: -0.540 eV per atom
# DOS(E_F): 0.80 states/eV/atom
data_KCuBiSe3
_cell_length_a 9.479
_cell_length_b 4.148
_cell_length_c 9.579
_cell_angle_alpha 90.00
_cell_angle_beta 107.39
_cell_angle_gamma 90.00
_symmetry_space_group_name_H-M 'P 1 21/m 1'
_symmetry_Int_Tables_number 11
_symmetry_space_group_name_Hall '-P 2yb'
loop_
_atom_site_label
_atom_site_fract_x
_atom_site_fract_y
_atom_site_fract_z
K1 0.189 0.250 0.224
Cu1 0.080 0.250 0.582
Bi1 0.334 0.750 0.854
Se1 0.115 0.250 0.847
Se2 0.187 0.750 0.514
Se3 0.447 0.750 0.163

---

Record 10
# KCuBi2Se4 PBE relaxed
# uncorrected energy: -3.89 eV per atom
# formation energy without anion corrections: -0.531 eV per atom
# DOS(E_F): 0.04 states/eV/atom
data_KCuBi2Se4
_cell_length_a 4.213
_cell_length_b 14.419
_cell_length_c 14.908
_cell_angle_alpha 90.00
_cell_angle_beta 90.00
_cell_angle_gamma 90.00
_symmetry_space_group_name_H-M 'C m c m'
_symmetry_Int_Tables_number 63
_symmetry_space_group_name_Hall '-C 2c 2'
loop_
_atom_site_label
_atom_site_fract_x
_atom_site_fract_y
_atom_site_fract_z
K1 0.000 0.109 0.250
Cu1 0.000 0.151 0.750
Bi1 0.000 0.365 0.060
Se1 0.000 0.000 0.000
Se2 0.000 0.264 0.614
Se3 0.000 0.431 0.250

---

Record 11
# K2CuBiSe4 PBE relaxed
# uncorrected energy: -3.52 eV per atom
# formation energy without anion corrections: -0.511 eV per atom
# DOS(E_F): 1.00 states/eV/atom
data_K2CuBiSe4
_cell_length_a 8.227
_cell_length_b 8.227
_cell_length_c 6.811
_cell_angle_alpha 90.00
_cell_angle_beta 90.00
_cell_angle_gamma 90.00
_symmetry_space_group_name_H-M 'I -4 2 m'
_symmetry_Int_Tables_number 121
_symmetry_space_group_name_Hall 'I -4 2'
loop_
_atom_site_label
_atom_site_fract_x
_atom_site_fract_y
_atom_site_fract_z
K1 0.000 0.500 0.000
Cu1 0.000 0.000 0.000
Bi1 0.000 0.000 0.500
Se1 0.169 0.169 0.226

---

Record 12
# KCu2SiBi PBE relaxed
# uncorrected energy: -2.74 eV per atom
# formation energy without anion corrections: 0.979 eV per atom
# DOS(E_F): 0.40 states/eV/atom
data_KCu2SiBi
_cell_length_a 5.028
_cell_length_b 5.028
_cell_length_c 6.797
_cell_angle_alpha 90.00
_cell_angle_beta 90.00
_cell_angle_gamma 90.00
_symmetry_space_group_name_H-M 'P 4/m m m'
_symmetry_Int_Tables_number 123
_symmetry_space_group_name_Hall '-P 4 2'
loop_
_atom_site_label
_atom_site_fract_x
_atom_site_fract_y
_atom_site_fract_z
K1 0.000 0.000 0.000
Cu1 0.000 0.500 0.500
Si1 0.500 0.500 0.000
Bi1 0.000 0.000 0.500